PBE-GGA Cr4CoP, optimized geometry; energy of formation = 38.2 kJ/mol of atoms; SG = F-43m
1.0
0.0000 3.2884 3.2884
3.2884 0.0000 3.2884
3.2884 3.2884 0.0000
Cr Co P
4 1 1
Direct
0.1243 0.1243 0.1243 Cr
0.1243 0.1243 0.6272 Cr
0.1243 0.6272 0.1243 Cr
0.6272 0.1243 0.1243 Cr
0.5000 0.5000 0.5000 Co
0.7500 0.7500 0.7500 P